[1]
SiTe2Cl | GGA-PBEsol | optimized geometry

POSCAR file:
```
SiTe2Cl
1.0
1.8494 -2.4615 0.0000
1.8494 2.4615 0.0000
0.0000 0.0000 11.1076
Si Te Cl
1 2 1
Direct
0.0000 0.0000 0.0000 Si
0.0000 0.0000 0.4683 Te
0.5000 0.5000 0.7814 Te
0.5000 0.5000 0.1507 Cl
```

- raw formation energy (meV per atom) = 121


[2]
Ac3Sn | GGA-PBEsol | optimized geometry

POSCAR file:
```
Ac3Sn
1.0
5.2157 0.0000 0.0000
0.0000 5.2157 0.0000
0.0000 0.0000 5.2157
Ac Sn
3 1
Direct
0.0000 0.0000 0.5000 Ac
0.0000 0.5000 0.0000 Ac
0.5000 0.0000 0.0000 Ac
0.5000 0.5000 0.5000 Sn
```

- energy of formation from the pure elements (eV per atom) = -0.3700


[3]
CrTeW2O12 | GGA-PBEsol | optimized geometry

POSCAR file:
```
CrTeW2O12
1.0
5.0772 0.0000 0.0000
-0.0034 5.2718 0.0000
-0.0017 -0.3205 7.2972
Cr Te W O
1 1 2 12
Direct
0.0000 0.0000 0.0000 Cr
0.4979 0.4326 0.5347 Te
0.5055 0.4965 0.0335 W
0.9863 0.9336 0.4998 W
0.0953 0.9488 0.7885 O
0.1952 0.6356 0.4823 O
0.1978 0.2282 0.0754 O
0.2801 0.7458 0.0783 O
0.2971 0.1317 0.4797 O
0.3892 0.4281 0.7859 O
0.5974 0.4313 0.2801 O
0.6968 0.7368 0.5848 O
0.7199 0.1509 0.9777 O
0.7956 0.6651 0.9821 O
0.8014 0.2314 0.5880 O
0.8964 0.9416 0.2687 O
```

- raw formation energy (meV per atom) = -1622


Q: Which calculated total energy values were calculated for the entries above? A: -3.581 -4.813 -8.145, in eV per atom.
Q: Which calculated volume values were calculated for the entries above? A: 101 142 195, in Å³/cell.